--- 1 ---
HfBePt2 GGA-PBE relaxed; crystal system = tetragonal; total magnetization = 0.00 μB per formula unit
1.0
2.8908 0.0000 0.0000
0.0000 2.8908 0.0000
0.0000 0.0000 6.9930
Pt Be Hf
2 1 1
Direct
0.0000 0.0000 0.2050
0.0000 0.0000 0.7950
0.5000 0.5000 0.0000
0.5000 0.5000 0.5000



--- 2 ---
HfBePt2 GGA-PBE relaxed; crystal system = orthorhombic; total magnetization = 0.00 μB per formula unit
1.0
5.1406 0.0000 0.0000
0.0000 6.9740 0.0000
0.0000 0.0000 13.2335
Pt Be Hf
16 8 8
Direct
0.7465 0.9505 0.0326
0.2535 0.0495 0.9674
0.2465 0.0495 0.4674
0.4970 0.5513 0.2853
0.9970 0.0513 0.2147
0.0030 0.5513 0.7853
0.7465 0.5495 0.0326
0.7535 0.9505 0.5326
0.4970 0.9487 0.2853
0.7535 0.5495 0.5326
0.5030 0.4487 0.7147
0.5030 0.0513 0.7147
0.0030 0.9487 0.7853
0.9970 0.4487 0.2147
0.2535 0.4505 0.9674
0.2465 0.4505 0.4674
0.9851 0.2500 0.0676
0.7315 0.7500 0.6807
0.7685 0.7500 0.1807
0.0149 0.7500 0.9324
0.5149 0.2500 0.5676
0.4851 0.7500 0.4324
0.2315 0.2500 0.8193
0.2685 0.2500 0.3193
0.5034 0.7500 0.8616
0.2297 0.7500 0.6119
0.2703 0.7500 0.1119
0.4966 0.2500 0.1384
0.7297 0.2500 0.8881
0.9966 0.7500 0.3616
0.0034 0.2500 0.6384
0.7703 0.2500 0.3881



--- 3 ---
HfBePt2 GGA-PBE relaxed; crystal system = tetragonal; total magnetization = 0.00 μB per formula unit
1.0
4.7798 0.0000 0.0000
0.0000 4.7798 0.0000
2.3899 2.3899 6.7132
Pt Hf Be
4 2 2
Direct
0.5307 0.1250 0.2500
0.8750 0.7807 0.7500
0.3750 0.4693 0.7500
0.2193 0.6250 0.2500
0.0000 0.0000 0.0000
0.7500 0.2500 0.5000
0.2500 0.7500 0.5000
0.5000 0.5000 0.0000



The structure with the most favorable energy is 2; the runner-up is 152 meV/atom above it.